# SCAN CuB4O7, single point on PBEsol structure
# - crystal system = orthorhombic
# - raw total energy (eV per cell) = -232.5
# - total moment (μB per cell) = 1.9
data_CuB4O7
_cell_length_a 5.110
_cell_length_b 6.294
_cell_length_c 6.294
_cell_angle_alpha 61.86
_cell_angle_beta 90.00
_cell_angle_gamma 90.00
_symmetry_space_group_name_H-M 'P 1'
_symmetry_Int_Tables_number 1
_symmetry_space_group_name_Hall 'P 1'
loop_
_atom_site_label
_atom_site_fract_x
_atom_site_fract_y
_atom_site_fract_z
O1 0.020 0.189 0.558
O2 0.520 0.558 0.189
O3 0.750 0.757 0.801
O4 0.980 0.558 0.189
O5 0.520 0.811 0.442
O6 0.750 0.199 0.243
O7 0.980 0.811 0.442
O8 0.250 0.243 0.199
O9 0.480 0.442 0.811
O10 0.750 0.927 0.073
O11 0.480 0.189 0.558
O12 0.250 0.073 0.927
O13 0.250 0.801 0.757
O14 0.020 0.442 0.811
B1 0.500 0.297 0.297
B2 0.000 0.297 0.297
B3 0.250 0.071 0.701
B4 0.000 0.703 0.703
B5 0.750 0.929 0.299
B6 0.750 0.701 0.071
B7 0.500 0.703 0.703
B8 0.250 0.299 0.929
Cu1 0.750 0.280 0.720
Cu2 0.250 0.720 0.280

---

# SCAN CuBPO2, single point on PBEsol structure
# - crystal system = tetragonal
# - total moment (μB per cell) = 0.0
# - E above lowest polymorph (kJ per mole of atoms) = 98.89
data_CuBPO2
_cell_length_a 3.491
_cell_length_b 3.491
_cell_length_c 4.836
_cell_angle_alpha 90.00
_cell_angle_beta 90.00
_cell_angle_gamma 90.00
_symmetry_space_group_name_H-M 'P 1'
_symmetry_Int_Tables_number 1
_symmetry_space_group_name_Hall 'P 1'
loop_
_atom_site_label
_atom_site_fract_x
_atom_site_fract_y
_atom_site_fract_z
B1 0.500 0.500 0.500
P1 0.000 0.000 0.500
O1 0.500 0.000 0.000
O2 0.000 0.500 0.000
Cu1 0.000 0.000 0.000